# 1
{
  "formula": "CsNi2BiO",
  "functional": "meta-GGA SCAN",
  "state": "single point on PBEsol structure",
  "lattice": [[4.2107, 0.0000, 0.0000], [0.0000, 4.9173, 0.0000], [0.0000, 0.0000, 4.9173]],
  "species": ["Cs", "Bi", "Ni", "O", "Ni"],
  "fractional_positions": [[0.0000, 0.0000, 0.0000], [0.5000, 0.5000, 0.5000], [0.0000, 0.0000, 0.5000], [0.5000, 0.0000, 0.0000], [0.0000, 0.5000, 0.0000]],
  "total_energy_ev_per_atom": -29.5666,
  "raw_formation_energy_ev_per_atom": 1.427,
  "magmom_total_mub_per_atom": 0.000
}

---

# 2
{
  "formula": "Ce7O12",
  "functional": "meta-GGA SCAN",
  "state": "single point on PBEsol structure",
  "lattice": [[6.6956, -0.0019, -0.0023], [-1.1182, 6.6015, -0.0023], [-1.1182, -1.3231, 6.4676]],
  "species": ["O", "Ce", "O", "Ce", "O", "O", "O", "O", "Ce", "Ce", "O", "O", "O", "O", "Ce", "O", "Ce", "Ce", "O"],
  "fractional_positions": [[0.8224, 0.4160, 0.5641], [0.1389, 0.2987, 0.6006], [0.0743, 0.9350, 0.6786], [0.2987, 0.6006, 0.1389], [0.9350, 0.6786, 0.0743], [0.0650, 0.3214, 0.9257], [0.1776, 0.5840, 0.4359], [0.5840, 0.4359, 0.1776], [0.0000, 0.0000, 0.0000], [0.8611, 0.7013, 0.3994], [0.3214, 0.9257, 0.0650], [0.4359, 0.1776, 0.5840], [0.5641, 0.8224, 0.4160], [0.4160, 0.5641, 0.8224], [0.7013, 0.3994, 0.8611], [0.6786, 0.0743, 0.9350], [0.3994, 0.8611, 0.7013], [0.6006, 0.1389, 0.2987], [0.9257, 0.0650, 0.3214]],
  "total_energy_ev_per_atom": -24.1346,
  "raw_formation_energy_ev_per_atom": -3.781,
  "magmom_total_mub_per_atom": 0.211
}

---

# 3
{
  "formula": "Ti2BN",
  "functional": "meta-GGA SCAN",
  "state": "single point on PBEsol structure",
  "lattice": [[4.7386, 0.0000, 0.0000], [0.0000, 4.7386, 0.0000], [-2.3693, -2.3693, 4.6956]],
  "species": ["N", "Ti", "Ti", "B", "Ti", "N", "B", "Ti"],
  "fractional_positions": [[0.2500, 0.7500, 0.5000], [0.6250, 0.6547, 0.7500], [0.1250, 0.0953, 0.7500], [0.5000, 0.5000, 0.0000], [0.9047, 0.3750, 0.2500], [0.0000, 0.0000, 0.0000], [0.7500, 0.2500, 0.5000], [0.3453, 0.8750, 0.2500]],
  "total_energy_ev_per_atom": -12.8475,
  "raw_formation_energy_ev_per_atom": -0.652,
  "magmom_total_mub_per_atom": 0.000
}

---

# 4
{
  "formula": "YAg2BiP",
  "functional": "meta-GGA SCAN",
  "state": "single point on PBEsol structure",
  "lattice": [[5.0513, 0.0000, 0.0000], [0.0000, 5.0513, 0.0000], [0.0000, 0.0000, 5.5280]],
  "species": ["Y", "P", "Ag", "Bi", "Ag"],
  "fractional_positions": [[0.5000, 0.5000, 0.5000], [0.0000, 0.0000, 0.5000], [0.5000, 0.0000, 0.0000], [0.0000, 0.0000, 0.0000], [0.0000, 0.5000, 0.0000]],
  "total_energy_ev_per_atom": -35.3227,
  "magmom_total_mub_per_atom": 0.000,
  "ef_ev_per_atom": 0.59
}

---

Record order is preserved below.
Calculated volume: 101.8 285.8 105.4 141.1 Å³ per cell